Below is an optimized crystal structure of ZnSbTe2, with properties calculated at the PBE level.

Cell: 7.438 7.438 9.250 Å, 90.00 90.00 90.00°
Space group I-42d (No. 122)
Inequivalent atoms, fractional coordinates:
Zn: 0.000 0.000 0.000
Sb: 0.000 0.000 0.500
Te: 0.214 0.750 0.125

Properties
The total energy comes out at -2.922 eV/atom. The uncorrected formation energy comes out at -0.002 eV/atom. The energy above the most stable polymorph in this dataset is 95.7 meV/atom.

---

Below is an optimized crystal structure of K4Rb5Pd, with properties calculated at the PBE level.

Cell: 22.989 4.798 13.645 Å, 90.00 101.17 90.00°
Space group C2/m (No. 12)
Inequivalent atoms, fractional coordinates:
K: 0.002 0.000 0.155
K: 0.144 0.500 0.042
Rb: 0.000 0.500 0.500
Rb: 0.171 0.000 0.384
Rb: 0.171 0.000 0.739
Pd: 0.000 0.500 0.000

Properties
The total energy comes out at -1.393 eV/atom. The formation energy comes out at 0.05 eV/atom.

---

Below is an optimized crystal structure of CrIn, with properties calculated at the PBE level.

Cell: 3.1862 3.1862 10.0872 Å, 90.00 90.00 120.00°
Space group P6_3mc (No. 186)
Inequivalent atoms, fractional coordinates:
Cr: 0.3333 0.6667 0.0000
In: 0.3333 0.6667 0.2760

Properties
The total energy comes out at -5.416 eV/atom. The formation energy comes out at 0.76 eV/atom.